(i)
Below is a relaxed V3CrAs crystal, with properties calculated at the PBE level.

POSCAR file:
```
V3CrAs
1.0
4.509 0.000 0.000
0.000 4.509 0.000
0.000 0.000 4.509
V Cr As
3 1 1
direct
0.000 0.000 0.500
0.000 0.500 0.000
0.500 0.000 0.000
0.500 0.500 0.500
0.000 0.000 0.000
```

Magnetic moment = 0.087 μB per atom

(ii)
Below is a relaxed V3CrAs crystal, with properties calculated at the PBE level.

POSCAR file:
```
V3CrAs
1.0
4.189 -2.537 0.000
4.189 2.537 0.000
-2.602 0.000 12.685
V Cr As
12 4 4
direct
0.017 0.347 0.788
0.051 0.909 0.909
0.091 0.949 0.591
0.097 0.448 0.594
0.347 0.017 0.288
0.448 0.097 0.094
0.552 0.903 0.906
0.653 0.983 0.712
0.903 0.552 0.406
0.909 0.051 0.409
0.949 0.091 0.091
0.983 0.653 0.212
0.377 0.545 0.413
0.455 0.623 0.087
0.545 0.377 0.913
0.623 0.455 0.587
0.000 0.500 0.000
0.359 0.641 0.750
0.500 0.000 0.500
0.641 0.359 0.250
```

Magnetic moment = 0.000 μB per atom

(iii)
Below is a relaxed V3CrAs crystal, with properties calculated at the PBE level.

POSCAR file:
```
V3CrAs
1.0
4.323 0.000 0.000
0.000 4.323 0.000
0.000 0.000 4.323
V Cr As
3 1 1
direct
0.000 0.000 0.500
0.000 0.500 0.000
0.500 0.000 0.000
0.000 0.000 0.000
0.500 0.500 0.500
```

Magnetic moment = 0.000 μB per atom

Pick (ii): it beats the second-best structure by 888 meV per atom.

(i)
Below is a relaxed VCr3As crystal, with properties calculated at the PBE level.

POSCAR file:
```
VCr3As
1.0
4.506 0.000 0.000
0.000 4.506 0.000
0.000 0.000 4.506
V Cr As
1 3 1
direct
0.000 0.000 0.000
0.000 0.500 0.500
0.500 0.000 0.500
0.500 0.500 0.000
0.500 0.500 0.500
```

Magnetic moment = 1.106 μB per atom

(ii)
Below is a relaxed VCr3As crystal, with properties calculated at the PBE level.

POSCAR file:
```
VCr3As
1.0
4.458 0.000 0.000
0.000 4.458 0.000
0.000 0.000 4.458
V Cr As
1 3 1
direct
0.000 0.000 0.000
0.000 0.000 0.500
0.000 0.500 0.000
0.500 0.000 0.000
0.500 0.500 0.500
```

Magnetic moment = 1.537 μB per atom

Pick (i): it beats the second-best structure by 236 meV per atom.

(i)
Below is a relaxed YCrAs3 crystal, with properties calculated at the PBE level.

POSCAR file:
```
YCrAs3
1.0
4.744 0.000 0.000
0.000 4.744 0.000
0.000 0.000 4.744
Y Cr As
1 1 3
direct
0.000 0.000 0.000
0.500 0.500 0.500
0.000 0.500 0.500
0.500 0.000 0.500
0.500 0.500 0.000
```

Magnetic moment = 0.290 μB per atom

(ii)
Below is a relaxed YCrAs3 crystal, with properties calculated at the PBE level.

POSCAR file:
```
YCrAs3
1.0
5.320 0.000 0.000
0.000 5.320 0.000
0.000 0.000 5.320
Y Cr As
1 1 3
direct
0.000 0.000 0.000
0.500 0.500 0.500
0.000 0.000 0.500
0.000 0.500 0.000
0.500 0.000 0.000
```

Magnetic moment = 0.152 μB per atom

(iii)
Below is a relaxed YCrAs3 crystal, with properties calculated at the PBE level.

POSCAR file:
```
YCrAs3
1.0
12.031 0.000 0.000
0.000 5.655 0.000
0.000 0.000 5.598
Y Cr As
4 4 12
direct
0.188 0.005 0.250
0.188 0.495 0.750
0.812 0.505 0.250
0.812 0.995 0.750
0.411 0.750 0.000
0.411 0.750 0.500
0.589 0.250 0.000
0.589 0.250 0.500
0.002 0.750 0.000
0.002 0.750 0.500
0.283 0.501 0.250
0.283 0.999 0.750
0.432 0.107 0.250
0.432 0.393 0.750
0.568 0.607 0.250
0.568 0.893 0.750
0.717 0.001 0.250
0.717 0.499 0.750
0.998 0.250 0.000
0.998 0.250 0.500
```

Magnetic moment = 0.316 μB per atom

Pick (iii): it beats the second-best structure by 528 meV per atom.